Record 1
# Ac12Cd3H5 (PBE, relaxed)
# - Mass density: 7.871 g/cm3
# - Uncorrected energy: -3.600 eV per atom
# - Total moment: 0.000 μB/atom
data_Ac12Cd3H5
_cell_length_a 14.9800
_cell_length_b 14.9800
_cell_length_c 14.9800
_cell_angle_alpha 109.47
_cell_angle_beta 109.47
_cell_angle_gamma 109.47
_symmetry_space_group_name_H-M 'P 1'
_symmetry_Int_Tables_number 1
loop_
_symmetry_equiv_pos_as_xyz
'x,y,z'
loop_
_atom_site_label
_atom_site_type_symbol
_atom_site_fract_x
_atom_site_fract_y
_atom_site_fract_z
Ac1 Ac 0.0152 0.2070 0.1104
Ac2 Ac 0.0152 0.3082 0.9048
Ac3 Ac 0.0952 0.6104 0.4035
Ac4 Ac 0.0952 0.9848 0.6918
Ac5 Ac 0.0965 0.7070 0.6918
Ac6 Ac 0.0965 0.8896 0.4048
Ac7 Ac 0.1104 0.0152 0.2070
Ac8 Ac 0.1104 0.5952 0.9035
Ac9 Ac 0.1918 0.2070 0.5965
Ac10 Ac 0.1918 0.4848 0.5952
Ac11 Ac 0.2070 0.1104 0.0152
Ac12 Ac 0.2070 0.5965 0.1918
Ac13 Ac 0.2930 0.3082 0.9035
Ac14 Ac 0.2930 0.4848 0.3896
Ac15 Ac 0.3082 0.9035 0.2930
Ac16 Ac 0.3082 0.9048 0.0152
Ac17 Ac 0.3896 0.2930 0.4848
Ac18 Ac 0.3896 0.5965 0.9048
Ac19 Ac 0.4035 0.0952 0.6104
Ac20 Ac 0.4035 0.8082 0.7930
Ac21 Ac 0.4048 0.0965 0.8896
Ac22 Ac 0.4048 0.8082 0.5152
Ac23 Ac 0.4848 0.3896 0.2930
Ac24 Ac 0.4848 0.5952 0.1918
Ac25 Ac 0.5152 0.4048 0.8082
Ac26 Ac 0.5152 0.6104 0.7070
Ac27 Ac 0.5952 0.1918 0.4848
Ac28 Ac 0.5952 0.9035 0.1104
Ac29 Ac 0.5965 0.1918 0.2070
Ac30 Ac 0.5965 0.9048 0.3896
Ac31 Ac 0.6104 0.4035 0.0952
Ac32 Ac 0.6104 0.7070 0.5152
Ac33 Ac 0.6918 0.0952 0.9848
Ac34 Ac 0.6918 0.0965 0.7070
Ac35 Ac 0.7070 0.5152 0.6104
Ac36 Ac 0.7070 0.6918 0.0965
Ac37 Ac 0.7930 0.4035 0.8082
Ac38 Ac 0.7930 0.8896 0.9848
Ac39 Ac 0.8082 0.5152 0.4048
Ac40 Ac 0.8082 0.7930 0.4035
Ac41 Ac 0.8896 0.4048 0.0965
Ac42 Ac 0.8896 0.9848 0.7930
Ac43 Ac 0.9035 0.1104 0.5952
Ac44 Ac 0.9035 0.2930 0.3082
Ac45 Ac 0.9048 0.0152 0.3082
Ac46 Ac 0.9048 0.3896 0.5965
Ac47 Ac 0.9848 0.6918 0.0952
Ac48 Ac 0.9848 0.7930 0.8896
Cd1 Cd 0.1250 0.2500 0.3750
Cd2 Cd 0.1250 0.3750 0.7500
Cd3 Cd 0.2500 0.3750 0.1250
Cd4 Cd 0.2500 0.8750 0.6250
Cd5 Cd 0.3750 0.1250 0.2500
Cd6 Cd 0.3750 0.7500 0.1250
Cd7 Cd 0.6250 0.2500 0.8750
Cd8 Cd 0.6250 0.8750 0.7500
Cd9 Cd 0.7500 0.1250 0.3750
Cd10 Cd 0.7500 0.6250 0.8750
Cd11 Cd 0.8750 0.6250 0.2500
Cd12 Cd 0.8750 0.7500 0.6250
H1 H 0.0000 0.0000 0.0000
H2 H 0.0000 0.0000 0.5000
H3 H 0.0000 0.5000 0.0000
H4 H 0.0000 0.5000 0.5000
H5 H 0.1250 0.7500 0.8750
H6 H 0.1250 0.8750 0.2500
H7 H 0.2500 0.1250 0.8750
H8 H 0.2500 0.6250 0.3750
H9 H 0.3750 0.2500 0.6250
H10 H 0.3750 0.6250 0.7500
H11 H 0.5000 0.0000 0.0000
H12 H 0.5000 0.0000 0.5000
H13 H 0.5000 0.5000 0.0000
H14 H 0.5000 0.5000 0.5000
H15 H 0.6250 0.3750 0.2500
H16 H 0.6250 0.7500 0.3750
H17 H 0.7500 0.3750 0.6250
H18 H 0.7500 0.8750 0.1250
H19 H 0.8750 0.1250 0.7500
H20 H 0.8750 0.2500 0.1250

***

Record 2
# TaMnSi2 (PBE, relaxed)
# - Mass density: 9.222 g/cm3
# - Uncorrected energy: -8.275 eV per atom
# - Total moment: 0.000 μB/atom
data_TaMnSi2
_cell_length_a 2.8631
_cell_length_b 2.8631
_cell_length_c 6.4155
_cell_angle_alpha 90.00
_cell_angle_beta 90.00
_cell_angle_gamma 90.00
_symmetry_space_group_name_H-M 'P 1'
_symmetry_Int_Tables_number 1
loop_
_symmetry_equiv_pos_as_xyz
'x,y,z'
loop_
_atom_site_label
_atom_site_type_symbol
_atom_site_fract_x
_atom_site_fract_y
_atom_site_fract_z
Ta1 Ta 0.0000 0.0000 0.0000
Mn1 Mn 0.0000 0.0000 0.5000
Si1 Si 0.5000 0.5000 0.2989
Si2 Si 0.5000 0.5000 0.7011